First-principles (PBE) data for Ac4Tl3Pb after structural relaxation, as listed in Alexandria.

Properties
Energy relative to the elements (kJ per mole of atoms): -39.05
VASP energy (eV per atom): -3.810
V (Å³ per cell): 297.2
Total magnetization (μB/f.u.): 0.82

Lattice parameters (Å, degrees): 4.7205 5.0151 12.5535 90.00 90.00 90.00
Fractional positions:
Ac 0.0000 0.0000 0.0000
Ac 0.0000 0.5000 0.4936
Ac 0.5000 0.0000 0.7223
Ac 0.5000 0.5000 0.2233
Tl 0.0000 0.0000 0.2773
Tl 0.5000 0.0000 0.4440
Tl 0.5000 0.5000 0.9457
Pb 0.0000 0.5000 0.7764



First-principles (PBE) data for Ac4Tl2Pb3 after structural relaxation, as listed in Alexandria.

Properties
Energy relative to the elements (kJ per mole of atoms): -31.02
VASP energy (eV per atom): -3.909
V (Å³ per cell): 651.4
Total magnetization (μB/f.u.): 0.00

Lattice parameters (Å, degrees): 9.8436 9.8436 7.2684 90.00 90.00 112.34
Fractional positions:
Ac 0.1807 0.3193 0.2500
Ac 0.2074 0.7926 0.9881
Ac 0.2926 0.7074 0.4881
Ac 0.3193 0.1807 0.7500
Ac 0.6807 0.8193 0.2500
Ac 0.7074 0.2926 0.5119
Ac 0.7926 0.2074 0.0119
Ac 0.8193 0.6807 0.7500
Tl 0.0896 0.9104 0.4417
Tl 0.4104 0.5896 0.9417
Tl 0.5896 0.4104 0.0583
Tl 0.9104 0.0896 0.5583
Pb 0.0000 0.0000 0.0000
Pb 0.0744 0.4256 0.7500
Pb 0.4256 0.0744 0.2500
Pb 0.5000 0.5000 0.5000
Pb 0.5744 0.9256 0.7500
Pb 0.9256 0.5744 0.2500



First-principles (PBE) data for Ac2Tl3Pb2 after structural relaxation, as listed in Alexandria.

Properties
Energy relative to the elements (kJ per mole of atoms): -23.06
VASP energy (eV per atom): -3.486
V (Å³ per cell): 247.1
Total magnetization (μB/f.u.): 0.00

Lattice parameters (Å, degrees): 11.7572 11.7572 4.6031 90.00 90.00 157.15
Fractional positions:
Ac 0.1600 0.8400 0.0000
Ac 0.8400 0.1600 0.0000
Tl 0.0000 0.0000 0.0000
Tl 0.4324 0.5676 0.5000
Tl 0.5676 0.4324 0.5000
Pb 0.2944 0.7056 0.5000
Pb 0.7056 0.2944 0.5000



First-principles (PBE) data for Ac2TlPb2 after structural relaxation, as listed in Alexandria.

Properties
Energy relative to the elements (kJ per mole of atoms): -44.85
VASP energy (eV per atom): -4.065
Energy above the most stable polymorph in this dataset (meV per atom): 0.0
V (Å³ per cell): 357.7
Total magnetization (μB/f.u.): 0.00

Lattice parameters (Å, degrees): 8.6082 8.6082 4.8276 90.00 90.00 90.00
Fractional positions:
Ac 0.1760 0.3240 0.0000
Ac 0.3240 0.8240 0.0000
Ac 0.6760 0.1760 0.0000
Ac 0.8240 0.6760 0.0000
Tl 0.0000 0.0000 0.5000
Tl 0.5000 0.5000 0.5000
Pb 0.1263 0.6263 0.5000
Pb 0.3737 0.1263 0.5000
Pb 0.6263 0.8737 0.5000
Pb 0.8737 0.3737 0.5000



First-principles (PBE) data for Ac2Tl3Pb after structural relaxation, as listed in Alexandria.

Properties
Energy relative to the elements (kJ per mole of atoms): -29.00
VASP energy (eV per atom): -3.471
V (Å³ per cell): 198.0
Total magnetization (μB/f.u.): 0.00

Lattice parameters (Å, degrees): 3.8238 5.4778 9.4528 90.00 90.00 90.00
Fractional positions:
Ac 0.0000 0.0000 0.0000
Ac 0.0000 0.5000 0.4959
Tl 0.5000 0.0000 0.3300
Tl 0.5000 0.0000 0.6609
Tl 0.5000 0.5000 0.1681
Pb 0.5000 0.5000 0.8318



First-principles (PBE) data for Ac2TlPb4 after structural relaxation, as listed in Alexandria.

Properties
Energy relative to the elements (kJ per mole of atoms): -32.34
VASP energy (eV per atom): -3.966
Energy above the most stable polymorph in this dataset (meV per atom): 0.0
V (Å³ per cell): 248.2
Total magnetization (μB/f.u.): 0.00

Lattice parameters (Å, degrees): 7.1255 7.1139 6.9332 60.95 60.78 58.27
Fractional positions:
Ac 0.0000 0.0000 0.5000
Ac 0.5000 0.5000 0.0000
Tl 0.0000 0.0000 0.0000
Pb 0.0000 0.5000 0.0000
Pb 0.0000 0.5000 0.5000
Pb 0.5000 0.0000 0.0000
Pb 0.5000 0.0000 0.5000



First-principles (PBE) data for Ac5TlPb4 after structural relaxation, as listed in Alexandria.

Properties
Energy relative to the elements (kJ per mole of atoms): -42.91
VASP energy (eV per atom): -4.219
Energy above the most stable polymorph in this dataset (meV per atom): 0.0
V (Å³ per cell): 357.7
Total magnetization (μB/f.u.): 0.00

Lattice parameters (Å, degrees): 4.3130 4.3130 19.2273 90.00 90.00 90.00
Fractional positions:
Ac 0.0000 0.0000 0.0000
Ac 0.0000 0.0000 0.1987
Ac 0.0000 0.0000 0.3987
Ac 0.0000 0.0000 0.6013
Ac 0.0000 0.0000 0.8013
Tl 0.5000 0.5000 0.5000
Pb 0.5000 0.5000 0.0992
Pb 0.5000 0.5000 0.2998
Pb 0.5000 0.5000 0.7002
Pb 0.5000 0.5000 0.9008



First-principles (PBE) data for Ac3Tl2Pb after structural relaxation, as listed in Alexandria.

Properties
Energy relative to the elements (kJ per mole of atoms): -35.96
VASP energy (eV per atom): -3.834
Energy above the most stable polymorph in this dataset (meV per atom): 0.0
V (Å³ per cell): 427.7
Total magnetization (μB/f.u.): 0.00

Lattice parameters (Å, degrees): 9.5212 9.5212 7.0477 101.55 101.55 43.28
Fractional positions:
Ac 0.1369 0.8631 0.7500
Ac 0.2095 0.4469 0.3929
Ac 0.4469 0.2095 0.8929
Ac 0.5531 0.7905 0.1071
Ac 0.7905 0.5531 0.6071
Ac 0.8631 0.1369 0.2500
Tl 0.0426 0.2832 0.0491
Tl 0.2832 0.0426 0.5491
Tl 0.7168 0.9574 0.4509
Tl 0.9574 0.7168 0.9509
Pb 0.3612 0.6388 0.2500
Pb 0.6388 0.3612 0.7500



First-principles (PBE) data for Ac3Tl3Pb2 after structural relaxation, as listed in Alexandria.

Properties
Energy relative to the elements (kJ per mole of atoms): -28.94
VASP energy (eV per atom): -3.655
Energy above the most stable polymorph in this dataset (meV per atom): 59.4
V (Å³ per cell): 273.2
Total magnetization (μB/f.u.): 0.00

Lattice parameters (Å, degrees): 11.1298 11.1298 5.3721 100.47 100.47 24.70
Fractional positions:
Ac 0.0000 0.0000 0.0000
Ac 0.1346 0.1346 0.5920
Ac 0.8654 0.8654 0.4080
Tl 0.3790 0.3790 0.9209
Tl 0.5000 0.5000 0.5000
Tl 0.6210 0.6210 0.0791
Pb 0.2456 0.2456 0.1981
Pb 0.7544 0.7544 0.8019



First-principles (PBE) data for Ac6TlPb2 after structural relaxation, as listed in Alexandria.

Properties
Energy relative to the elements (kJ per mole of atoms): -12.48
VASP energy (eV per atom): -3.955
V (Å³ per cell): 388.2
Total magnetization (μB/f.u.): 0.03

Lattice parameters (Å, degrees): 9.1639 9.1639 9.3190 107.45 107.45 31.47
Fractional positions:
Ac 0.0582 0.0582 0.3662
Ac 0.2863 0.2863 0.3795
Ac 0.3577 0.3577 0.9483
Ac 0.6423 0.6423 0.0517
Ac 0.7137 0.7137 0.6205
Ac 0.9418 0.9418 0.6338
Tl 0.0000 0.0000 0.0000
Pb 0.1454 0.1454 0.7879
Pb 0.8546 0.8546 0.2121



Repeat the ninth record exactly.
First-principles (PBE) data for Ac3Tl3Pb2 after structural relaxation, as listed in Alexandria.

Properties
Energy relative to the elements (kJ per mole of atoms): -28.94
VASP energy (eV per atom): -3.655
Energy above the most stable polymorph in this dataset (meV per atom): 59.4
V (Å³ per cell): 273.2
Total magnetization (μB/f.u.): 0.00

Lattice parameters (Å, degrees): 11.1298 11.1298 5.3721 100.47 100.47 24.70
Fractional positions:
Ac 0.0000 0.0000 0.0000
Ac 0.1346 0.1346 0.5920
Ac 0.8654 0.8654 0.4080
Tl 0.3790 0.3790 0.9209
Tl 0.5000 0.5000 0.5000
Tl 0.6210 0.6210 0.0791
Pb 0.2456 0.2456 0.1981
Pb 0.7544 0.7544 0.8019



The highest total magnetization belongs to which entry? Ac4Tl3Pb



What did the seventh record say?
First-principles (PBE) data for Ac5TlPb4 after structural relaxation, as listed in Alexandria.

Properties
Energy relative to the elements (kJ per mole of atoms): -42.91
VASP energy (eV per atom): -4.219
Energy above the most stable polymorph in this dataset (meV per atom): 0.0
V (Å³ per cell): 357.7
Total magnetization (μB/f.u.): 0.00

Lattice parameters (Å, degrees): 4.3130 4.3130 19.2273 90.00 90.00 90.00
Fractional positions:
Ac 0.0000 0.0000 0.0000
Ac 0.0000 0.0000 0.1987
Ac 0.0000 0.0000 0.3987
Ac 0.0000 0.0000 0.6013
Ac 0.0000 0.0000 0.8013
Tl 0.5000 0.5000 0.5000
Pb 0.5000 0.5000 0.0992
Pb 0.5000 0.5000 0.2998
Pb 0.5000 0.5000 0.7002
Pb 0.5000 0.5000 0.9008